No. 1
{"formula": "Ga3SiPd3", "functional": "PBE-GGA", "state": "relaxed", "lattice": [[-4.400, -1.010, -3.339], [0.635, -4.037, 3.851], [-4.529, 3.861, 4.797]], "species": ["Ga", "Ga", "Ga", "Ga", "Ga", "Ga", "Si", "Si", "Pd", "Pd", "Pd", "Pd", "Pd", "Pd"], "fractional_positions": [[0.579, 0.579, 0.346], [0.151, 0.849, 0.500], [0.849, 0.151, 0.500], [0.231, 0.769, 0.000], [0.769, 0.231, 0.000], [0.421, 0.421, 0.654], [0.686, 0.686, 0.942], [0.314, 0.314, 0.058], [0.946, 0.946, 0.198], [0.929, 0.509, 0.732], [0.509, 0.929, 0.732], [0.071, 0.491, 0.268], [0.491, 0.071, 0.268], [0.054, 0.054, 0.802]], "final_energy_ev_per_atom": -4.71, "n_ef_per_ev_cell": 5.21}

=====

No. 2
{"formula": "Ga2Si2Pd", "functional": "PBE-GGA", "state": "relaxed", "lattice": [[6.271, 0.000, 0.000], [0.000, 6.271, 0.000], [0.000, 0.000, 4.368]], "species": ["Si", "Si", "Si", "Si", "Ga", "Ga", "Ga", "Ga", "Pd", "Pd"], "fractional_positions": [[0.365, 0.865, 0.000], [0.865, 0.635, 0.000], [0.635, 0.135, 0.000], [0.135, 0.365, 0.000], [0.175, 0.675, 0.500], [0.675, 0.825, 0.500], [0.825, 0.325, 0.500], [0.325, 0.175, 0.500], [0.000, 0.000, 0.000], [0.500, 0.500, 0.000]], "final_energy_ev_per_atom": -4.46, "n_ef_per_ev_cell": 2.92}

=====

What is the formula in the second record? Ga2Si2Pd